This record from the Alexandria database describes crystalline ZrRe2Os at its relaxed geometry. The functional is PBE.

```
data_ZrRe2Os
_chemical_formula_sum 'Zr2 Re4 Os2'
_space_group_name_H-M_alt 'C 1 m 1'
_space_group_IT_number 8
_cell_length_a 10.471
_cell_length_b 2.952
_cell_length_c 4.726
_cell_angle_alpha 90.00
_cell_angle_beta 116.10
_cell_angle_gamma 90.00
loop_
_space_group_symop_operation_xyz
'x,y,z'
'x,-y,z'
'x+1/2,y+1/2,z'
'x+1/2,-y+1/2,z'
loop_
_atom_site_label
_atom_site_fract_x
_atom_site_fract_y
_atom_site_fract_z
Zr1 0.000 0.000 0.000
Re1 0.273 0.500 0.184
Re2 0.499 0.000 0.516
Os1 0.227 0.000 0.631
```

Total magnetic moment   0.00 μB per formula unit
Energy above the lowest structure with this stoichiometry   0.017 eV/atom
ρ   16.550 Mg/m³